Entry 1:
Entry from Alexandria via LeMat-Bulk: KFeSCl2 at its PBEsol-relaxed geometry (meta-GGA SCAN).

Lattice parameters (Å, degrees): 4.9241 4.9241 4.4430 90.00 90.00 90.00
With the nearest neighbours (Å) after each atom.
Positions (direct):
K 0.0000 0.0000 0.0000  8 Cl 3.32, 4 S 3.48
Fe 0.5000 0.5000 0.5000  2 S 2.22, 4 Cl 2.46
S 0.5000 0.5000 0.0000  2 Fe 2.22
Cl 0.0000 0.5000 0.5000  2 Fe 2.46
Cl 0.5000 0.0000 0.5000  2 Fe 2.46

Output
Symmetry = P4/mmm, No. 123
Formation energy without anion corrections = -1.105 eV per atom



Entry 2:
Entry from Alexandria via LeMat-Bulk: La2FeCl at its PBEsol-relaxed geometry (meta-GGA SCAN).

Lattice parameters (Å, degrees): 4.1131 4.1131 5.6852 90.00 90.00 90.00
With the nearest neighbours (Å) after each atom.
Positions (direct):
La 0.0000 0.0000 0.0000  2 Cl 2.83-2.85, 4 Fe 2.93
La 0.5000 0.5000 0.4392  1 Fe 2.16
Fe 0.5000 0.5000 0.0589  1 La 2.16
Cl 0.0000 0.0000 0.5014  6 La 2.83-2.93

Output
Polymorph energy (0 for the lowest one) = 0.0 meV per atom
Symmetry = P4mm, No. 99
Formation energy without anion corrections = -0.733 eV per atom



Entry 3:
Entry from Alexandria via LeMat-Bulk: La2FeCl at its PBEsol-relaxed geometry (meta-GGA SCAN).

Lattice parameters (Å, degrees): 5.1014 5.1014 3.3592 90.00 90.00 90.00
With the nearest neighbours (Å) after each atom.
Positions (direct):
La 0.0000 0.5000 0.0000  4 Cl 3.05, 4 Fe 3.05, 2 La 3.36
La 0.5000 0.0000 0.0000  4 Cl 3.05, 4 Fe 3.05, 2 La 3.36
Fe 0.0000 0.0000 0.5000  8 La 3.05, 2 Fe 3.36
Cl 0.5000 0.5000 0.5000  8 La 3.05, 2 Cl 3.36

Output
Polymorph energy (0 for the lowest one) = 241.2 meV per atom
Symmetry = P4/mmm, No. 123
Formation energy without anion corrections = -0.491 eV per atom



Entry 4:
Entry from Alexandria via LeMat-Bulk: LaFe3Cl at its PBEsol-relaxed geometry (meta-GGA SCAN).

Lattice parameters (Å, degrees): 4.6041 4.6041 4.6041 90.00 90.00 90.00
With the nearest neighbours (Å) after each atom.
Positions (direct):
La 0.0000 0.0000 0.0000  6 Fe 2.30
Fe 0.0000 0.0000 0.5000  2 La 2.30
Fe 0.0000 0.5000 0.0000  2 La 2.30
Fe 0.5000 0.0000 0.0000  2 La 2.30
Cl 0.5000 0.5000 0.5000  12 Fe 3.26

Output
Symmetry = Pm-3m, No. 221
Formation energy without anion corrections = 1.815 eV per atom



Entry 5:
Entry from Alexandria via LeMat-Bulk: LaFePCl2 at its PBEsol-relaxed geometry (meta-GGA SCAN).

Lattice parameters (Å, degrees): 4.5380 4.5380 4.7120 90.00 90.00 90.00
With the nearest neighbours (Å) after each atom.
Positions (direct):
La 0.0000 0.0000 0.0000  4 P 3.21, 8 Cl 3.27
Fe 0.5000 0.5000 0.5000  4 Cl 2.27, 2 P 2.36
P 0.5000 0.5000 0.0000  2 Fe 2.36
Cl 0.0000 0.5000 0.5000  2 Fe 2.27
Cl 0.5000 0.0000 0.5000  2 Fe 2.27

Output
Symmetry = P4/mmm, No. 123
Formation energy without anion corrections = -1.046 eV per atom



Entry 6:
Entry from Alexandria via LeMat-Bulk: RbLaZr6FeCl18 at its PBEsol-relaxed geometry (meta-GGA SCAN).

Lattice parameters (Å, degrees): 9.5875 9.5875 18.3385 90.00 90.00 120.00
With the nearest neighbours (Å) after each atom.
Positions (direct):
Rb 0.3333 0.6667 0.2500  12 Cl 3.82-4.00
Rb 0.6667 0.3333 0.7500  12 Cl 3.82-4.00
La 0.3333 0.6667 0.7500  6 Cl 2.78
La 0.6667 0.3333 0.2500  6 Cl 2.78
Zr 0.0427 0.2227 0.5755  1 Fe 2.40, 5 Cl 2.53-2.66
Zr 0.0427 0.8200 0.9245  1 Fe 2.40, 5 Cl 2.53-2.66
Zr 0.1800 0.2227 0.9245  1 Fe 2.40, 5 Cl 2.53-2.66
Zr 0.1800 0.9573 0.5755  1 Fe 2.40, 5 Cl 2.53-2.66
Zr 0.2227 0.0427 0.0755  1 Fe 2.40, 5 Cl 2.53-2.66
Zr 0.2227 0.1800 0.4245  1 Fe 2.40, 5 Cl 2.53-2.66
Zr 0.7773 0.8200 0.5755  1 Fe 2.40, 5 Cl 2.53-2.66
Zr 0.7773 0.9573 0.9245  1 Fe 2.40, 5 Cl 2.53-2.66
Zr 0.8200 0.0427 0.4245  1 Fe 2.40, 5 Cl 2.53-2.66
Zr 0.8200 0.7773 0.0755  1 Fe 2.40, 5 Cl 2.53-2.66
Zr 0.9573 0.1800 0.0755  1 Fe 2.40, 5 Cl 2.53-2.66
Zr 0.9573 0.7773 0.4245  1 Fe 2.40, 5 Cl 2.53-2.66
Fe 0.0000 0.0000 0.0000  6 Zr 2.40
Fe 0.0000 0.0000 0.5000  6 Zr 2.40
Cl 0.0448 0.2358 0.3401  2 Zr 2.55
Cl 0.0448 0.8090 0.1599  2 Zr 2.55
Cl 0.0742 0.4574 0.6634  1 Zr 2.66, 1 La 2.78
Cl 0.0742 0.6168 0.8366  1 Zr 2.66, 1 La 2.78
Cl 0.1461 0.4248 0.0003  2 Zr 2.53-2.54
Cl 0.1461 0.7213 0.4997  2 Zr 2.53-2.54
Cl 0.1910 0.2358 0.1599  2 Zr 2.55
Cl 0.1910 0.9552 0.3401  2 Zr 2.55
Cl 0.2358 0.0448 0.8401  2 Zr 2.55
Cl 0.2358 0.1910 0.6599  2 Zr 2.55
Cl 0.2787 0.4248 0.4997  2 Zr 2.53-2.54
Cl 0.2787 0.8539 0.0003  2 Zr 2.53-2.54
Cl 0.3832 0.4574 0.8366  1 Zr 2.66, 1 La 2.78
Cl 0.3832 0.9258 0.6634  1 Zr 2.66, 1 La 2.78
Cl 0.4248 0.1461 0.5003  2 Zr 2.53-2.54
Cl 0.4248 0.2787 0.9997  2 Zr 2.53-2.54
Cl 0.4574 0.0742 0.1634  1 Zr 2.66, 1 La 2.78
Cl 0.4574 0.3832 0.3366  1 Zr 2.66, 1 La 2.78
Cl 0.5426 0.6168 0.6634  1 Zr 2.66, 1 La 2.78
Cl 0.5426 0.9258 0.8366  1 Zr 2.66, 1 La 2.78
Cl 0.5752 0.7213 0.0003  2 Zr 2.53-2.54
Cl 0.5752 0.8539 0.4997  2 Zr 2.53-2.54
Cl 0.6168 0.0742 0.3366  1 Zr 2.66, 1 La 2.78
Cl 0.6168 0.5426 0.1634  1 Zr 2.66, 1 La 2.78
Cl 0.7213 0.1461 0.9997  2 Zr 2.53-2.54
Cl 0.7213 0.5752 0.5003  2 Zr 2.53-2.54
Cl 0.7642 0.8090 0.3401  2 Zr 2.55
Cl 0.7642 0.9552 0.1599  2 Zr 2.55
Cl 0.8090 0.0448 0.6599  2 Zr 2.55
Cl 0.8090 0.7642 0.8401  2 Zr 2.55
Cl 0.8539 0.2787 0.5003  2 Zr 2.53-2.54
Cl 0.8539 0.5752 0.9997  2 Zr 2.53-2.54
Cl 0.9258 0.3832 0.1634  1 Zr 2.66, 1 La 2.78
Cl 0.9258 0.5426 0.3366  1 Zr 2.66, 1 La 2.78
Cl 0.9552 0.1910 0.8401  2 Zr 2.55
Cl 0.9552 0.7642 0.6599  2 Zr 2.55

Output
Symmetry = P-31c, No. 163
Formation energy without anion corrections = -2.048 eV per atom



Entry 7:
Entry from Alexandria via LeMat-Bulk: Li2FeCl at its PBEsol-relaxed geometry (meta-GGA SCAN).

Lattice parameters (Å, degrees): 6.1476 6.1718 3.1120 90.00 90.00 90.00
With the nearest neighbours (Å) after each atom.
Positions (direct):
Li 0.2500 0.2500 0.0000  4 Fe 2.68, 4 Cl 2.68
Li 0.2500 0.7500 0.0000  4 Cl 2.68, 4 Fe 2.68
Li 0.7500 0.2500 0.0000  4 Cl 2.68, 4 Fe 2.68
Li 0.7500 0.7500 0.0000  4 Fe 2.68, 4 Cl 2.68
Fe 0.0000 0.0000 0.5000  8 Li 2.68
Fe 0.5000 0.5000 0.5000  8 Li 2.68
Cl 0.0000 0.5000 0.5000  8 Li 2.68
Cl 0.5000 0.0000 0.5000  8 Li 2.68

Output
Polymorph energy (0 for the lowest one) = 207.0 meV per atom
Symmetry = Cmmm, No. 65
Formation energy without anion corrections = -0.214 eV per atom



Entry 8:
Entry from Alexandria via LeMat-Bulk: Li2FeCl at its PBEsol-relaxed geometry (meta-GGA SCAN).

Lattice parameters (Å, degrees): 3.0091 3.0091 23.3277 90.00 90.00 120.00
With the nearest neighbours (Å) after each atom.
Positions (direct):
Li 0.0000 0.0000 0.2349  3 Cl 2.36
Li 0.0000 0.0000 0.7651  3 Cl 2.36
Li 0.3333 0.6667 0.4318  3 Cl 2.36
Li 0.3333 0.6667 0.9016  3 Cl 2.36
Li 0.6667 0.3333 0.0984  3 Cl 2.36
Li 0.6667 0.3333 0.5682  3 Cl 2.36
Fe 0.0000 0.0000 0.0000  6 Li 2.88, 6 Fe 3.01
Fe 0.3333 0.6667 0.6667  6 Li 2.88, 6 Fe 3.01
Fe 0.6667 0.3333 0.3333  6 Li 2.88, 6 Fe 3.01
Cl 0.0000 0.0000 0.5000  6 Li 2.36
Cl 0.3333 0.6667 0.1667  6 Li 2.36
Cl 0.6667 0.3333 0.8333  6 Li 2.36

Output
Polymorph energy (0 for the lowest one) = 0.0 meV per atom
Symmetry = R-3m, No. 166
Formation energy without anion corrections = -0.421 eV per atom



Which value of formation energy without anion corrections does entry 7 give?
-0.214 eV per atom